20
Lattice="5.5485 -7.6210 0.0000 5.5485 7.6210 0.0000 0.0000 0.0000 7.7131" Properties=species:S:1:pos:R:3 comment="Dy6Bi3Pb, relaxed, DFT PBE" ef_ev_per_atom=-0.480 space_group="No. 36" pbc="T T T"
Dy 5.5485 7.4998 3.8565
Dy 3.3744 3.4341 7.6695
Dy 5.5485 3.7969 2.8980
Dy 3.5757 0.8683 2.9222
Dy 3.5757 -0.8683 6.7788
Dy 7.7227 3.4341 7.6695
Dy 3.3744 -3.4341 3.8130
Dy 7.5214 0.8683 2.9222
Dy 7.5214 -0.8683 6.7788
Dy 5.5485 -3.7969 6.7546
Dy 7.7227 -3.4341 3.8130
Dy 5.5485 -7.4998 0.0000
Bi 2.0523 1.5314 5.5830
Bi 2.0523 -1.5314 1.7264
Bi 5.5485 1.1968 0.5079
Bi 5.5485 -1.1968 4.3645
Bi 9.0447 1.5314 5.5830
Bi 9.0447 -1.5314 1.7264
Pb 5.5485 5.0281 5.7917
Pb 5.5485 -5.0281 1.9352